Compound: GaPbF
Source: Alexandria via LeMat-Bulk
Functional: PBE
Structure: optimized geometry

The structure in CIF format:
```
data_GaPbF
_chemical_formula_sum 'Ga2 Pb2 F2'
_cell_length_a 13.6038
_cell_length_b 3.4697
_cell_length_c 3.4697
_cell_angle_alpha 56.26
_cell_angle_beta 90.00
_cell_angle_gamma 90.00
_symmetry_space_group_name_H-M 'P 1'
_symmetry_Int_Tables_number 1
loop_
_symmetry_equiv_pos_as_xyz
'x,y,z'
loop_
_atom_site_label
_atom_site_type_symbol
_atom_site_fract_x
_atom_site_fract_y
_atom_site_fract_z
Ga1 Ga 0.2041 0.0000 0.0000
Ga2 Ga 0.7959 0.0000 0.0000
Pb1 Pb 0.0000 0.7171 0.7171
Pb2 Pb 0.5000 0.4779 0.4779
F1 F 0.3158 0.4808 0.4808
F2 F 0.6842 0.4808 0.4808
```

Energy relative to the elements, uncorrected: -2.80 eV/f.u.
SG: Amm2